Entry 1:
Here is Sm4InRe after structural relaxation from Alexandria via LeMat-Bulk. Energies are from PBE.

Summary:
**E**: -5.8226 eV per atom

Cell: 8.066 8.066 6.251 Å, 99.83 99.83 113.20°
Positions (direct):
Sm 0.059 0.721 0.951
Sm 0.204 0.357 0.615
Sm 0.279 0.941 0.549
Sm 0.357 0.204 0.115
Sm 0.643 0.796 0.885
Sm 0.721 0.059 0.451
Sm 0.796 0.643 0.385
Sm 0.941 0.279 0.049
In 0.377 0.623 0.250
In 0.623 0.377 0.750
Re 0.000 0.000 0.250
Re 0.000 0.000 0.750

Entry 2:
Here is InReSn3 after structural relaxation from Alexandria via LeMat-Bulk. Energies are from PBE.

Summary:
**E above lowest polymorph**: 1325 meV/atom

Cell: 5.500 5.500 5.500 Å, 90.00 90.00 90.00°
Positions (direct):
In 0.000 0.000 0.000
Re 0.500 0.500 0.500
Sn 0.000 0.000 0.500
Sn 0.000 0.500 0.000
Sn 0.500 0.000 0.000

Entry 3:
Here is InReSn3 after structural relaxation from Alexandria via LeMat-Bulk. Energies are from PBE.

Summary:
**E above lowest polymorph**: 0 meV/atom

Cell: 5.238 5.238 5.238 Å, 90.00 90.00 90.00°
Positions (direct):
In 0.000 0.000 0.000
Re 0.500 0.500 0.500
Sn 0.000 0.500 0.500
Sn 0.500 0.000 0.500
Sn 0.500 0.500 0.000

Entry 4:
Here is In2ReSn after structural relaxation from Alexandria via LeMat-Bulk. Energies are from PBE.

Summary:
**E**: -4.6990 eV per atom

Cell: 2.982 2.982 36.054 Å, 90.00 90.00 120.00°
Positions (direct):
In 0.000 0.000 0.079
In 0.000 0.000 0.921
In 0.333 0.667 0.588
In 0.333 0.667 0.745
In 0.667 0.333 0.255
In 0.667 0.333 0.412
Re 0.000 0.000 0.000
Re 0.333 0.667 0.667
Re 0.667 0.333 0.333
Sn 0.000 0.000 0.500
Sn 0.333 0.667 0.167
Sn 0.667 0.333 0.833